Density functional theory data (PBE) for a relaxed structure of NdPuSn.

The calculation puts the total energy at -7.51 eV per atom. For the calculated formation energy, the calculation gives 0.189 eV/atom. As for the spin magnetization: 13.36 μB per cell. Its distance to the lowest polymorph of the same formula is 650 meV per atom.

The structure belongs to space group I4mm (No. 107); the cell edges are 3.240, 3.240 and 17.836 Å and the angles 90.00°, 90.00° and 90.00°. The inequivalent atoms are Nd at (0.000, 0.000, 0.000), Pu at (0.000, 0.000, 0.184) and Sn at (0.000, 0.000, 0.362).